[1]
The following is a DFT calculation (PBE) of an optimized crystal structure of Sr5Ac3.

Cell: 4.0128 4.0128 27.0554 Å, 90.00 90.00 113.90°
With the nearest neighbours (Å) after each atom.
Atoms (fractional coordinates):
1 Sr 0.0000 0.0000 0.0000  10 Sr 4.01-4.38
2 Sr 0.0000 0.0000 0.2563  8 Sr 4.01-4.38, 2 Ac 4.04
3 Sr 0.0000 0.0000 0.7437  8 Sr 4.01-4.38, 2 Ac 4.04
4 Sr 0.5000 0.5000 0.1279  10 Sr 4.01-4.38
5 Sr 0.5000 0.5000 0.8721  10 Sr 4.01-4.38
6 Ac 0.0000 0.0000 0.5000  8 Ac 3.88-4.01
7 Ac 0.5000 0.5000 0.3818  6 Ac 3.88-4.01, 2 Sr 4.04
8 Ac 0.5000 0.5000 0.6182  6 Ac 3.88-4.01, 2 Sr 4.04

Output
calculated formation energy	70	meV/atom
space-group type	Cmmm, No. 65

---

[2]
The following is a DFT calculation (PBE) of an optimized crystal structure of ZrMnTc2Rh.

Cell: 4.7324 4.7324 4.6949 Å, 90.00 90.00 90.00°
With the nearest neighbours (Å) after each atom.
Atoms (fractional coordinates):
1 Zr 0.0000 0.0000 0.0000  2 Rh 2.35, 4 Tc 2.37
2 Mn 0.5000 0.5000 0.5000  8 Tc 3.33, 4 Rh 3.35
3 Tc 0.0000 0.5000 0.0000  2 Zr 2.37
4 Tc 0.5000 0.0000 0.0000  2 Zr 2.37
5 Rh 0.0000 0.0000 0.5000  2 Zr 2.35

Output
calculated formation energy	2116	meV/atom
space-group type	P4/mmm, No. 123

---

[3]
The following is a DFT calculation (PBE) of an optimized crystal structure of TmPb2ClO4.

Cell: 3.9564 3.9564 8.8559 Å, 90.00 90.00 90.00°
With the nearest neighbours (Å) after each atom.
Atoms (fractional coordinates):
1 Tm 0.0000 0.0000 0.0000  8 O 2.35
2 Pb 0.5000 0.5000 0.2709  4 O 2.28
3 Pb 0.5000 0.5000 0.7291  4 O 2.28
4 Cl 0.0000 0.0000 0.5000  8 Pb 3.46, 8 O 3.72
5 O 0.0000 0.5000 0.1440  2 Pb 2.28, 2 Tm 2.35
6 O 0.0000 0.5000 0.8560  2 Pb 2.28, 2 Tm 2.35
7 O 0.5000 0.0000 0.1440  2 Pb 2.28, 2 Tm 2.35
8 O 0.5000 0.0000 0.8560  2 Pb 2.28, 2 Tm 2.35

Output
ΔE_f (raw)	-1.720	eV per atom
space-group type	P4/mmm, No. 123

---

[4]
The following is a DFT calculation (PBE) of an optimized crystal structure of HfTePtF2.

Cell: 4.0637 4.0637 5.5406 Å, 90.00 90.00 90.00°
With the nearest neighbours (Å) after each atom.
Atoms (fractional coordinates):
1 Hf 0.0000 0.0000 0.0000  4 F 2.03
2 Te 0.5000 0.5000 0.5000  4 Pt 2.87
3 Pt 0.0000 0.0000 0.5000  2 Hf 2.77, 4 Te 2.87
4 F 0.0000 0.5000 0.0000  2 Hf 2.03
5 F 0.5000 0.0000 0.0000  2 Hf 2.03

Output
ΔE_f (raw)	-1.964	eV per atom
space-group type	P4/mmm, No. 123

---

[5]
The following is a DFT calculation (PBE) of an optimized crystal structure of ZnCd2Te.

Cell: 3.0582 3.9230 8.0060 Å, 90.00 90.00 90.00°
With the nearest neighbours (Å) after each atom.
Atoms (fractional coordinates):
1 Zn 0.0000 0.0000 0.0000  4 Cd 3.02, 2 Zn 3.06, 4 Te 3.06
2 Cd 0.0000 0.0000 0.4619  6 Cd 3.06-3.18
3 Cd 0.5000 0.5000 0.2147  4 Zn 3.02, 6 Cd 3.06-3.18
4 Te 0.5000 0.5000 0.7772  2 Te 3.06, 4 Zn 3.06

Output
ΔE_f (raw)	0.089	eV per atom
space-group type	Pmm2, No. 25
excess energy over the best structure of this formula in the dataset	111	meV per atom

---

[6]
The following is a DFT calculation (PBE) of an optimized crystal structure of Y2Ho3Tm3.

Cell: 8.4286 8.4286 6.0015 Å, 110.61 110.61 39.38°
With the nearest neighbours (Å) after each atom.
Atoms (fractional coordinates):
1 Y 0.2501 0.2501 0.1863  5 Tm 3.43-3.70, 5 Ho 3.43-3.70, 2 Y 3.61
2 Y 0.7499 0.7499 0.8137  5 Tm 3.43-3.70, 5 Ho 3.43-3.70, 2 Y 3.61
3 Ho 0.3704 0.3704 0.8123  1 Ho 3.26, 4 Y 3.43-3.52, 3 Tm 3.44-3.55
4 Ho 0.5000 0.5000 0.5000  2 Ho 3.26, 4 Tm 3.44
5 Ho 0.6296 0.6296 0.1877  1 Ho 3.26, 4 Y 3.43-3.52, 3 Tm 3.44-3.55
6 Tm 0.0000 0.0000 0.0000  2 Tm 3.29, 4 Ho 3.44
7 Tm 0.1294 0.1294 0.5744  1 Tm 3.29, 4 Y 3.43-3.53, 5 Ho 3.44-3.67
8 Tm 0.8706 0.8706 0.4256  1 Tm 3.29, 4 Y 3.43-3.53, 5 Ho 3.44-3.67

Output
calculated formation energy	107	meV/atom
space-group type	C2/m, No. 12
excess energy over the best structure of this formula in the dataset	0	meV per atom

---

[7]
The following is a DFT calculation (PBE) of an optimized crystal structure of KIn3Ru.

Cell: 5.2329 5.2329 5.2329 Å, 90.00 90.00 90.00°
With the nearest neighbours (Å) after each atom.
Atoms (fractional coordinates):
1 K 0.0000 0.0000 0.0000  12 In 3.70
2 In 0.0000 0.5000 0.5000  2 Ru 2.62
3 In 0.5000 0.0000 0.5000  2 Ru 2.62
4 In 0.5000 0.5000 0.0000  2 Ru 2.62
5 Ru 0.5000 0.5000 0.5000  6 In 2.62

Output
calculated formation energy	-133	meV/atom
space-group type	Pm-3m, No. 221
excess energy over the best structure of this formula in the dataset	0	meV per atom

---

[8]
The following is a DFT calculation (PBE) of an optimized crystal structure of NaEr4Hg5.

Cell: 3.6838 3.6838 18.6428 Å, 90.00 90.00 90.00°
With the nearest neighbours (Å) after each atom.
Atoms (fractional coordinates):
1 Na 0.0000 0.0000 0.0000  8 Hg 3.30, 4 Na 3.68
2 Er 0.0000 0.0000 0.2020  8 Hg 3.13-3.21
3 Er 0.0000 0.0000 0.4010  8 Hg 3.18-3.19
4 Er 0.0000 0.0000 0.5990  8 Hg 3.18-3.19
5 Er 0.0000 0.0000 0.7980  8 Hg 3.13-3.21
6 Hg 0.5000 0.5000 0.1090  4 Er 3.13, 4 Na 3.30
7 Hg 0.5000 0.5000 0.3027  8 Er 3.18-3.21
8 Hg 0.5000 0.5000 0.5000  8 Er 3.19
9 Hg 0.5000 0.5000 0.6973  8 Er 3.18-3.21
10 Hg 0.5000 0.5000 0.8910  4 Er 3.13, 4 Na 3.30

Output
calculated formation energy	-425	meV/atom
space-group type	P4/mmm, No. 123

---

[9]
The following is a DFT calculation (PBE) of an optimized crystal structure of HoSc2InHg4.

Cell: 8.9776 8.9776 8.9776 Å, 32.49 32.49 32.49°
With the nearest neighbours (Å) after each atom.
Atoms (fractional coordinates):
1 Ho 0.0000 0.0000 0.0000  8 Hg 3.05-3.09
2 Sc 0.2439 0.2439 0.2439  8 Hg 3.01-3.24
3 Sc 0.7561 0.7561 0.7561  8 Hg 3.01-3.24
4 In 0.5000 0.5000 0.5000  8 Hg 3.12-3.29
5 Hg 0.1213 0.1213 0.1213  4 Sc 3.01-3.12, 1 Ho 3.09, 3 In 3.12
6 Hg 0.3709 0.3709 0.3709  3 Ho 3.05, 4 Sc 3.19-3.24, 1 In 3.29
7 Hg 0.6291 0.6291 0.6291  3 Ho 3.05, 4 Sc 3.19-3.24, 1 In 3.29
8 Hg 0.8787 0.8787 0.8787  4 Sc 3.01-3.12, 1 Ho 3.09, 3 In 3.12

Output
calculated formation energy	-339	meV/atom
space-group type	R-3m, No. 166

---

[10]
The following is a DFT calculation (PBE) of an optimized crystal structure of TlGe2Se.

Cell: 5.0247 5.0247 5.0247 Å, 60.00 60.00 60.00°
With the nearest neighbours (Å) after each atom.
Atoms (fractional coordinates):
1 Tl 0.0000 0.0000 0.0000  8 Ge 3.08
2 Ge 0.2500 0.2500 0.2500  4 Se 3.08, 4 Tl 3.08
3 Ge 0.7500 0.7500 0.7500  4 Se 3.08, 4 Tl 3.08
4 Se 0.5000 0.5000 0.5000  8 Ge 3.08

Output
ΔE_f (raw)	0.321	eV per atom
space-group type	Fm-3m, No. 225
excess energy over the best structure of this formula in the dataset	58	meV per atom

---

[11]
The following is a DFT calculation (PBE) of an optimized crystal structure of SrPrGa2.

Cell: 4.3274 6.3016 6.3016 Å, 42.53 90.00 90.00°
With the nearest neighbours (Å) after each atom.
Atoms (fractional coordinates):
1 Sr 0.0000 0.0000 0.0000  7 Ga 3.30-3.42
2 Pr 0.5000 0.7201 0.7201  7 Ga 3.23-3.56
3 Ga 0.0000 0.2835 0.2835  2 Ga 2.67
4 Ga 0.5000 0.4167 0.4167  2 Ga 2.67

Output
calculated formation energy	-460	meV/atom
space-group type	Amm2, No. 38

---

[12]
The following is a DFT calculation (PBE) of an optimized crystal structure of TiI2Cl.

Cell: 7.7860 7.7860 7.7860 Å, 95.51 95.51 143.89°
With the nearest neighbours (Å) after each atom.
Atoms (fractional coordinates):
1 Ti 0.0000 0.0000 0.0000  2 Cl 2.41
2 Ti 0.7500 0.2500 0.5000  2 Cl 2.41
3 I 0.3750 0.2202 0.3452  2 Ti 2.86
4 I 0.7798 0.1250 0.1548  2 Ti 2.86
5 I 0.8750 0.0298 0.6548  2 Ti 2.86
6 I 0.9702 0.6250 0.8452  2 Ti 2.86
7 Cl 0.2500 0.7500 0.5000  2 Ti 2.41
8 Cl 0.5000 0.5000 0.0000  2 Ti 2.41

Output
ΔE_f (raw)	-0.790	eV per atom
space-group type	I-42d, No. 122
excess energy over the best structure of this formula in the dataset	159	meV per atom

---

[13]
The following is a DFT calculation (PBE) of an optimized crystal structure of ReCI2N.

Cell: 5.5045 5.5045 3.7642 Å, 90.00 90.00 90.00°
With the nearest neighbours (Å) after each atom.
Atoms (fractional coordinates):
1 Re 0.0000 0.0000 0.0000  2 N 1.88
2 C 0.5000 0.5000 0.5000  8 I 3.33
3 I 0.0000 0.5000 0.0000  2 Re 2.75
4 I 0.5000 0.0000 0.0000  2 Re 2.75
5 N 0.0000 0.0000 0.5000  2 Re 1.88

Output
ΔE_f (raw)	1.712	eV per atom
space-group type	P4/mmm, No. 123
excess energy over the best structure of this formula in the dataset	0	meV per atom